Entry 1:
This record from Alexandria via LeMat-Bulk describes an optimized crystal structure of CrCd2Fe. The functional is PBE.

Cell: 4.0833 4.0833 8.2536 Å, 90.00 90.00 90.00°
Sites, in units of the cell vectors:
Cr (0.0000, 0.0000, 0.0000)
Cr (0.5000, 0.5000, 0.5000)
Cd (0.0000, 0.0000, 0.5000)
Cd (0.0000, 0.5000, 0.2500)
Cd (0.5000, 0.0000, 0.7500)
Cd (0.5000, 0.5000, 0.0000)
Fe (0.0000, 0.5000, 0.7500)
Fe (0.5000, 0.0000, 0.2500)

Output
* size of the total moment: 1.538 μB/atom
* ΔE to the lowest computed polymorph: 280.3 meV per atom
* space-group type: I-4m2
* final energy: -4.44 eV per atom
* energy of formation: 0.537 eV/atom
* density of states at the Fermi level: 11.635 states/eV per cell

***

Entry 2:
This record from Alexandria via LeMat-Bulk describes an optimized crystal structure of Cr2CdFe. The functional is PBE.

Cell: 2.8069 2.8069 24.9539 Å, 90.00 90.00 120.00°
Sites, in units of the cell vectors:
Cr (0.0000, 0.0000, 0.0000)
Cr (0.0000, 0.0000, 0.2692)
Cr (0.3333, 0.6667, 0.6667)
Cr (0.3333, 0.6667, 0.9359)
Cr (0.6667, 0.3333, 0.3333)
Cr (0.6667, 0.3333, 0.6025)
Cd (0.0000, 0.0000, 0.5037)
Cd (0.3333, 0.6667, 0.1703)
Cd (0.6667, 0.3333, 0.8370)
Fe (0.0000, 0.0000, 0.7427)
Fe (0.3333, 0.6667, 0.4093)
Fe (0.6667, 0.3333, 0.0760)

Output
* size of the total moment: 0.510 μB/atom
* space-group type: R3m
* final energy: -6.73 eV per atom
* energy of formation: 0.430 eV/atom
* density of states at the Fermi level: 11.653 states/eV per cell